## PrDy2Tm6 (PBE-GGA)

Data for PrDy2Tm6 after structural relaxation.

Cell and atoms, written as CIF:
```
data_PrDy2Tm6
_chemical_formula_sum 'Pr1 Dy2 Tm6'
_symmetry_space_group_name_H-M 'P -1'
_symmetry_Int_Tables_number 2
_cell_length_a 3.529
_cell_length_b 8.633
_cell_length_c 9.310
_cell_angle_alpha 89.98
_cell_angle_beta 79.14
_cell_angle_gamma 89.91
loop_
_symmetry_equiv_pos_as_xyz
'x,y,z'
'-x,-y,-z'
loop_
_atom_site_label
_atom_site_fract_x
_atom_site_fract_y
_atom_site_fract_z
Pr1 0.000 0.000 0.000
Dy1 0.444 0.336 0.113
Tm1 0.113 0.334 0.774
Tm2 0.222 0.666 0.555
Tm3 0.331 0.000 0.337
```

Calculated values
**V**: 278.52 Å³ per cell
**DFT total energy**: -4.51 eV/atom
**Distance to the lowest polymorph of the same formula**: 0.000 eV per atom